First-principles (PBE with a Hubbard U) data for MnAg3F6 after structural relaxation, as listed in the Alexandria database.

Structure (CIF):
```
data_MnAg3F6
_cell_length_a 7.737
_cell_length_b 12.002
_cell_length_c 3.427
_cell_angle_alpha 90.00
_cell_angle_beta 90.00
_cell_angle_gamma 90.00
_space_group_name_H-M_alt 'C m m m'
_space_group_IT_number 65
_space_group_name_Hall '-C 2 2'
loop_
_atom_site_label
_atom_site_type_symbol
_atom_site_fract_x
_atom_site_fract_y
_atom_site_fract_z
_atom_site_occupancy
Mn1 Mn 0.000 0.000 0.000 1
Ag1 Ag 0.000 0.500 0.000 1
Ag2 Ag 0.250 0.250 0.500 1
F1 F 0.000 0.108 0.500 1
F2 F 0.211 0.383 0.000 1
```

**Energy relative to the lowest polymorph listed for this composition**: 0.1000 eV per atom
**Total moment**: 8.91 μB per cell
**DFT total energy**: -4.218 eV per atom